MnInMo2N: relaxed, PBE.

Cell and atoms, written as CIF:
```
data_MnInMo2N
_chemical_formula_sum 'Mn1 In1 Mo2 N1'
_cell_length_a 4.191
_cell_length_b 4.191
_cell_length_c 4.005
_cell_angle_alpha 90.00
_cell_angle_beta 90.00
_cell_angle_gamma 90.00
_space_group_name_H-M_alt 'P 4/m m m'
_space_group_IT_number 123
_space_group_name_Hall '-P 4 2'
loop_
_atom_site_label
_atom_site_type_symbol
_atom_site_fract_x
_atom_site_fract_y
_atom_site_fract_z
Mn1 Mn 0.000 0.000 0.000
In1 In 0.500 0.500 0.000
Mo1 Mo 0.000 0.500 0.500
N1 N 0.000 0.000 0.500
```

Values from the calculation:
E_tot in eV per cell: -42.298
Mass density in Mg/m³: 8.869
Size of the total moment in μB per formula unit: 1.87

CePHPt: relaxed, PBE.

Cell and atoms, written as CIF:
```
data_CePHPt
_chemical_formula_sum 'Ce1 P1 H1 Pt1'
_cell_length_a 4.2196
_cell_length_b 4.2196
_cell_length_c 3.9554
_cell_angle_alpha 90.00
_cell_angle_beta 90.00
_cell_angle_gamma 120.00
_space_group_name_H-M_alt 'P 3 m 1'
_space_group_IT_number 156
_space_group_name_Hall 'P 3 -2"'
loop_
_atom_site_label
_atom_site_type_symbol
_atom_site_fract_x
_atom_site_fract_y
_atom_site_fract_z
Ce1 Ce 0.0000 0.0000 0.0000
P1 P 0.6667 0.3333 0.4976
H1 H 0.3333 0.6667 0.9991
Pt1 Pt 0.3333 0.6667 0.5018
```

Values from the calculation:
E_tot in eV per cell: -24.894
Mass density in Mg/m³: 9.997
Size of the total moment in μB per formula unit: 0.28

Pr2Dy2YHo: relaxed, PBE.

Cell and atoms, written as CIF:
```
data_Pr2Dy2YHo
_chemical_formula_sum 'Pr4 Dy4 Y2 Ho2'
_cell_length_a 7.070
_cell_length_b 5.680
_cell_length_c 9.857
_cell_angle_alpha 90.00
_cell_angle_beta 90.00
_cell_angle_gamma 90.00
_space_group_name_H-M_alt 'P m m a'
_space_group_IT_number 51
_space_group_name_Hall '-P 2a 2a'
loop_
_atom_site_label
_atom_site_type_symbol
_atom_site_fract_x
_atom_site_fract_y
_atom_site_fract_z
Pr1 Pr 0.000 0.000 0.000
Pr2 Pr 0.250 0.500 0.176
Dy1 Dy 0.250 0.000 0.333
Dy2 Dy 0.250 0.500 0.836
Y1 Y 0.000 0.500 0.500
Ho1 Ho 0.250 0.000 0.660
```

Values from the calculation:
E_tot in eV per cell: -58.863
Mass density in Mg/m³: 7.222
Size of the total moment in μB per formula unit: 0.00

ZrMnNiRu: relaxed, PBE.

Cell and atoms, written as CIF:
```
data_ZrMnNiRu
_chemical_formula_sum 'Zr4 Mn4 Ni4 Ru4'
_cell_length_a 6.263
_cell_length_b 6.263
_cell_length_c 6.263
_cell_angle_alpha 90.00
_cell_angle_beta 90.00
_cell_angle_gamma 90.00
_space_group_name_H-M_alt 'F -4 3 m'
_space_group_IT_number 216
_space_group_name_Hall 'F -4 2 3'
loop_
_atom_site_label
_atom_site_type_symbol
_atom_site_fract_x
_atom_site_fract_y
_atom_site_fract_z
Zr1 Zr 0.000 0.000 0.000
Mn1 Mn 0.000 0.000 0.500
Ni1 Ni 0.250 0.250 0.750
Ru1 Ru 0.250 0.250 0.250
```

Values from the calculation:
E_tot in eV per cell: -134.462
Mass density in Mg/m³: 8.273
Size of the total moment in μB per formula unit: 4.70

Li2CaCu: relaxed, PBE.

Cell and atoms, written as CIF:
```
data_Li2CaCu
_chemical_formula_sum 'Li4 Ca2 Cu2'
_cell_length_a 4.876
_cell_length_b 4.876
_cell_length_c 7.056
_cell_angle_alpha 90.00
_cell_angle_beta 90.00
_cell_angle_gamma 90.00
_space_group_name_H-M_alt 'I -4 m 2'
_space_group_IT_number 119
_space_group_name_Hall 'I -4 -2'
loop_
_atom_site_label
_atom_site_type_symbol
_atom_site_fract_x
_atom_site_fract_y
_atom_site_fract_z
Li1 Li 0.000 0.000 0.000
Li2 Li 0.000 0.500 0.250
Ca1 Ca 0.000 0.500 0.750
Cu1 Cu 0.000 0.000 0.500
```

Values from the calculation:
Mass density in Mg/m³: 2.326
Size of the total moment in μB per formula unit: 0.00
E above lowest polymorph in eV/atom: 0.0795

Pm3Ho6Sc: relaxed, PBE.

Cell and atoms, written as CIF:
```
data_Pm3Ho6Sc
_chemical_formula_sum 'Pm12 Ho24 Sc4'
_cell_length_a 10.891
_cell_length_b 18.828
_cell_length_c 6.224
_cell_angle_alpha 90.00
_cell_angle_beta 90.00
_cell_angle_gamma 90.00
_space_group_name_H-M_alt 'C m c 21'
_space_group_IT_number 36
_space_group_name_Hall 'C 2c -2'
loop_
_atom_site_label
_atom_site_type_symbol
_atom_site_fract_x
_atom_site_fract_y
_atom_site_fract_z
Pm1 Pm 0.000 0.112 0.000
Pm2 Pm 0.168 0.387 0.388
Ho1 Ho 0.000 0.222 0.568
Ho2 Ho 0.000 0.453 0.840
Ho3 Ho 0.165 0.046 0.477
Ho4 Ho 0.247 0.210 0.300
Sc1 Sc 0.000 0.296 0.062
```

Values from the calculation:
Mass density in Mg/m³: 7.648
Size of the total moment in μB per formula unit: 0.00
E above lowest polymorph in eV/atom: 0.1169

NaAcNi: relaxed, PBE.

Cell and atoms, written as CIF:
```
data_NaAcNi
_chemical_formula_sum 'Na2 Ac2 Ni2'
_cell_length_a 4.140
_cell_length_b 4.142
_cell_length_c 13.607
_cell_angle_alpha 98.32
_cell_angle_beta 90.44
_cell_angle_gamma 119.64
_space_group_name_H-M_alt 'P -1'
_space_group_IT_number 2
_space_group_name_Hall '-P 1'
loop_
_atom_site_label
_atom_site_type_symbol
_atom_site_fract_x
_atom_site_fract_y
_atom_site_fract_z
Na1 Na 0.204 0.404 0.107
Ac1 Ac 0.050 0.094 0.645
Ni1 Ni 0.333 0.667 0.500
```

Values from the calculation:
Mass density in Mg/m³: 5.131
Size of the total moment in μB per formula unit: 0.00
E above lowest polymorph in eV/atom: 0.0000

RbHoSiS4: relaxed, PBE.

Cell and atoms, written as CIF:
```
data_RbHoSiS4
_chemical_formula_sum 'Rb2 Ho2 Si2 S8'
_cell_length_a 6.390
_cell_length_b 6.667
_cell_length_c 9.065
_cell_angle_alpha 90.00
_cell_angle_beta 107.90
_cell_angle_gamma 90.00
_space_group_name_H-M_alt 'P 1 21/m 1'
_space_group_IT_number 11
_space_group_name_Hall '-P 2yb'
loop_
_atom_site_label
_atom_site_type_symbol
_atom_site_fract_x
_atom_site_fract_y
_atom_site_fract_z
Rb1 Rb 0.233 0.250 0.437
Ho1 Ho 0.275 0.250 0.952
Si1 Si 0.276 0.750 0.164
S1 S 0.073 0.750 0.930
S2 S 0.081 0.750 0.315
S3 S 0.500 0.002 0.800
```

Values from the calculation:
E_tot in eV per cell: -74.837
Mass density in Mg/m³: 3.676
Size of the total moment in μB per formula unit: 0.00

BaMnAg2Pt: relaxed, PBE.

Cell and atoms, written as CIF:
```
data_BaMnAg2Pt
_chemical_formula_sum 'Ba1 Mn1 Ag2 Pt1'
_cell_length_a 4.901
_cell_length_b 4.901
_cell_length_c 6.075
_cell_angle_alpha 90.00
_cell_angle_beta 90.00
_cell_angle_gamma 90.00
_space_group_name_H-M_alt 'P 4/m m m'
_space_group_IT_number 123
_space_group_name_Hall '-P 4 2'
loop_
_atom_site_label
_atom_site_type_symbol
_atom_site_fract_x
_atom_site_fract_y
_atom_site_fract_z
Ba1 Ba 0.000 0.000 0.000
Mn1 Mn 0.000 0.000 0.500
Ag1 Ag 0.000 0.500 0.500
Pt1 Pt 0.500 0.500 0.000
```

Values from the calculation:
E_tot in eV per cell: -18.866
Mass density in Mg/m³: 6.861
Size of the total moment in μB per formula unit: 4.39

Li6CaCl8: relaxed, PBE.

Cell and atoms, written as CIF:
```
data_Li6CaCl8
_chemical_formula_sum 'Li24 Ca4 Cl32'
_cell_length_a 10.538
_cell_length_b 10.538
_cell_length_c 10.538
_cell_angle_alpha 90.00
_cell_angle_beta 90.00
_cell_angle_gamma 90.00
_space_group_name_H-M_alt 'F m -3 m'
_space_group_IT_number 225
_space_group_name_Hall '-F 4 2 3'
loop_
_atom_site_label
_atom_site_type_symbol
_atom_site_fract_x
_atom_site_fract_y
_atom_site_fract_z
Li1 Li 0.000 0.250 0.250
Ca1 Ca 0.000 0.000 0.000
Cl1 Cl 0.000 0.000 0.254
Cl2 Cl 0.250 0.250 0.250
```

Values from the calculation:
E_tot in eV per cell: -226.649
Mass density in Mg/m³: 2.074
Size of the total moment in μB per formula unit: 0.00

RbLiP: relaxed, PBE.

Cell and atoms, written as CIF:
```
data_RbLiP
_chemical_formula_sum 'Rb2 Li2 P2'
_cell_length_a 4.600
_cell_length_b 4.627
_cell_length_c 10.578
_cell_angle_alpha 80.87
_cell_angle_beta 87.63
_cell_angle_gamma 70.09
_space_group_name_H-M_alt 'P 1'
_space_group_IT_number 1
_space_group_name_Hall 'P 1'
loop_
_atom_site_label
_atom_site_type_symbol
_atom_site_fract_x
_atom_site_fract_y
_atom_site_fract_z
Rb1 Rb 0.000 0.000 0.000
Rb2 Rb 0.461 0.663 0.539
Li1 Li 0.032 0.615 0.283
Li2 Li 0.429 0.051 0.257
P1 P 0.587 0.511 0.192
P2 P 0.875 0.154 0.347
```

Values from the calculation:
Mass density in Mg/m³: 1.961
Size of the total moment in μB per formula unit: 0.00
E above lowest polymorph in eV/atom: 0.0000

> What is the formula in the eleventh record?

RbLiP

> Look up the size of the total moment of the second one.

0.28 μB per formula unit

> What is the formula in the sixth record?

Pm3Ho6Sc